Mg2FeCF | PBE with a Hubbard U | optimized geometry

Cell lengths 4.973, 3.619, 4.973 Å; angles 90.00, 90.00, 90.00 degrees
Element x y z (fractional)
F 0.500 0.500 0.500
Fe 0.000 0.000 0.000
C 0.000 0.500 0.000
Mg 0.000 0.000 0.500
Mg 0.500 0.000 0.000

**VASP energy**: -18.89 eV for the cell shown